Arrangement i

A plane-wave DFT calculation with GGA-PBE was carried out for HfBePd after structural relaxation.

Summary:
As for the symmetry: No. 216.

Cell: 4.291 4.291 4.291 Å, 60.00 60.00 60.00°
Fractional coordinates of all 3 atoms:
Hf 0.000 0.000 0.000
Be 0.750 0.750 0.750
Pd 0.250 0.250 0.250



Arrangement ii

A plane-wave DFT calculation with GGA-PBE was carried out for HfBePd after structural relaxation.

Summary:
As for the symmetry: No. 129.

Cell: 3.115 3.115 9.305 Å, 90.00 90.00 90.00°
Fractional coordinates of all 6 atoms:
Hf 0.250 0.250 0.113
Hf 0.750 0.750 0.887
Be 0.250 0.250 0.435
Be 0.750 0.750 0.565
Pd 0.250 0.250 0.686
Pd 0.750 0.750 0.314



Arrangement iii

A plane-wave DFT calculation with GGA-PBE was carried out for HfBePd after structural relaxation.

Summary:
As for the symmetry: No. 123.

Cell: 2.966 2.966 10.078 Å, 90.00 90.00 90.00°
Fractional coordinates of all 6 atoms:
Hf 0.000 0.000 0.199
Hf 0.000 0.000 0.801
Be 0.500 0.500 0.380
Be 0.500 0.500 0.620
Pd 0.000 0.000 0.500
Pd 0.500 0.500 0.000



Arrangement iv

A plane-wave DFT calculation with GGA-PBE was carried out for HfBePd after structural relaxation.

Summary:
As for the symmetry: No. 107.

Cell: 5.249 5.249 5.249 Å, 146.16 146.16 48.61°
Fractional coordinates of all 3 atoms:
Hf 0.000 0.000 0.000
Be 0.685 0.685 0.000
Pd 0.299 0.299 0.000



The structure shown above that is least stable: arrangement i.